Entry 1:
{
  "formula": "TiHg3O",
  "functional": "GGA-PBE",
  "state": "optimized geometry",
  "lattice_angstrom": [[4.716, 0.000, 0.000], [0.000, 4.716, 0.000], [0.000, 0.000, 4.716]],
  "species": ["Ti", "Hg", "Hg", "Hg", "O"],
  "fractional_positions": [[0.000, 0.000, 0.000], [0.000, 0.500, 0.500], [0.500, 0.000, 0.500], [0.500, 0.500, 0.000], [0.500, 0.500, 0.500]],
  "de_polymorph_mev_per_atom": 0.0,
  "raw_formation_energy_mev_per_atom": 607.2,
  "e_tot_ev_per_cell": -10.7
}

Entry 2:
{
  "formula": "K3AcSi2O8",
  "functional": "GGA-PBE",
  "state": "optimized geometry",
  "lattice_angstrom": [[6.039, 0.000, 0.000], [-3.020, 5.230, 0.000], [0.000, 0.000, 8.110]],
  "species": ["K", "K", "K", "Ac", "Si", "Si", "O", "O", "O", "O", "O", "O", "O", "O"],
  "fractional_positions": [[0.000, 0.000, 0.000], [0.333, 0.667, 0.727], [0.667, 0.333, 0.273], [0.000, 0.000, 0.500], [0.333, 0.667, 0.246], [0.667, 0.333, 0.754], [0.184, 0.368, 0.309], [0.184, 0.816, 0.309], [0.333, 0.667, 0.043], [0.368, 0.184, 0.691], [0.632, 0.816, 0.309], [0.667, 0.333, 0.957], [0.816, 0.184, 0.691], [0.816, 0.632, 0.691]],
  "raw_formation_energy_mev_per_atom": -2332.5,
  "e_tot_ev_per_cell": -90.6
}

Entry 3:
{
  "formula": "Re2Hg",
  "functional": "GGA-PBE",
  "state": "optimized geometry",
  "lattice_angstrom": [[5.338, 0.000, 0.000], [-2.669, 4.623, 0.000], [0.000, 0.000, 8.559]],
  "species": ["Re", "Re", "Re", "Re", "Re", "Re", "Re", "Re", "Hg", "Hg", "Hg", "Hg"],
  "fractional_positions": [[0.000, 0.000, 0.000], [0.000, 0.000, 0.500], [0.175, 0.350, 0.250], [0.175, 0.825, 0.250], [0.350, 0.175, 0.750], [0.650, 0.825, 0.250], [0.825, 0.175, 0.750], [0.825, 0.650, 0.750], [0.333, 0.667, 0.568], [0.333, 0.667, 0.932], [0.667, 0.333, 0.068], [0.667, 0.333, 0.432]],
  "de_polymorph_mev_per_atom": 412.1,
  "e_tot_ev_per_cell": -91.0,
  "formation_energy_ev_per_atom": 0.812
}

Entry 4:
{
  "formula": "Cs2KRbAu",
  "functional": "GGA-PBE",
  "state": "optimized geometry",
  "lattice_angstrom": [[7.226, 0.000, 0.000], [0.000, 7.226, 0.000], [0.000, 0.000, 7.082]],
  "species": ["Cs", "Cs", "K", "Rb", "Au"],
  "fractional_positions": [[0.000, 0.500, 0.000], [0.500, 0.000, 0.000], [0.000, 0.000, 0.500], [0.500, 0.500, 0.500], [0.500, 0.500, 0.000]],
  "e_tot_ev_per_cell": -7.7,
  "formation_energy_ev_per_atom": -0.126
}

Entry 5:
{
  "formula": "Pr2AlNi6Ge",
  "functional": "GGA-PBE",
  "state": "optimized geometry",
  "lattice_angstrom": [[6.115, 0.000, 0.000], [3.034, 5.318, 0.000], [3.006, 1.684, 5.170]],
  "species": ["Pr", "Pr", "Al", "Ni", "Ni", "Ni", "Ni", "Ni", "Ni", "Ge"],
  "fractional_positions": [[0.206, 0.206, 0.384], [0.794, 0.794, 0.616], [0.500, 0.500, 0.500], [0.171, 0.621, 0.885], [0.323, 0.172, 0.877], [0.375, 0.680, 0.118], [0.625, 0.320, 0.882], [0.677, 0.828, 0.123], [0.829, 0.379, 0.115], [0.000, 0.000, 0.000]],
  "e_tot_ev_per_cell": -56.1,
  "formation_energy_ev_per_atom": -0.349
}

Entry 6:
{
  "formula": "Pt2SeCl",
  "functional": "GGA-PBE",
  "state": "optimized geometry",
  "lattice_angstrom": [[3.037, -1.750, 0.000], [3.037, 1.750, 0.000], [-1.930, 0.000, 6.956]],
  "species": ["Pt", "Pt", "Se", "Cl"],
  "fractional_positions": [[0.240, 0.240, 0.227], [0.760, 0.760, 0.773], [0.500, 0.500, 0.000], [0.000, 0.000, 0.500]],
  "de_polymorph_mev_per_atom": 415.9,
  "raw_formation_energy_mev_per_atom": 167.7,
  "e_tot_ev_per_cell": -16.7
}

no.,size of the total moment (Bohr magnetons per cell),D(E_F) (states/eV/atom)
1,0.00,2.54
2,2.02,0.71
3,0.00,1.05
4,0.17,0.99
5,0.00,0.84
6,0.00,0.63